Crystalline Ba2HgCl at its relaxed geometry, computed with GGA-PBEsol.

## Properties
Theoretical density, kg/m³: 6296
Formation energy without anion corrections, eV/f.u.: -3.8
N(E_F), states/eV/f.u.: 5.7
E_tot, eV/atom: -2.66
Polymorph energy (0 for the lowest one), meV per atom: 188

a = 8.1371 Å, b = 8.1371 Å, c = 8.1371 Å
α = 90.00°, β = 90.00°, γ = 90.00°
Space group Fm-3m (No. 225)
Unique sites:
1 Ba 0.2500 0.2500 0.2500 (multiplicity 8)
2 Hg 0.0000 0.0000 0.0000 (multiplicity 4)
3 Cl 0.0000 0.0000 0.5000 (multiplicity 4)